Density functional theory data (PBE) for an optimized crystal structure of HgSbP2Cl.

a = 5.1928 Å, b = 5.1928 Å, c = 5.2789 Å
α = 90.00°, β = 90.00°, γ = 90.00°
Last column: nearest neighbours and their distance in Å.
Space group P4/mmm (No. 123)
Inequivalent atoms, fractional coordinates:
Hg: 0.0000 0.0000 0.0000 x1  4 Cl 3.67, 8 P 3.70
Sb: 0.5000 0.5000 0.5000 x1  4 P 2.60, 2 Cl 2.64
P: 0.0000 0.5000 0.5000 x2  2 Sb 2.60
Cl: 0.5000 0.5000 0.0000 x1  2 Sb 2.64

Computed properties:
E_form (uncorrected): 0.6626 eV per atom
Density: 4.897 Mg/m³
Relative energy among the computed polymorphs: 0.0000 eV/atom